First-principles (PBE) data for crystalline AcLaTlPt at its relaxed geometry, as listed in the Alexandria database.

Total magnetic moment (μB per formula unit): 0.00
Symmetry: F-43m
Energy of formation (eV/atom): -0.600

Lattice parameters (Å, degrees): 5.5048 5.5048 5.5048 60.00 60.00 60.00
Fractional positions:
1 Pt 0.0000 0.0000 0.0000
2 La 0.7500 0.7500 0.7500
3 Tl 0.5000 0.5000 0.5000
4 Ac 0.2500 0.2500 0.2500

---

First-principles (PBE) data for crystalline AcLaZnPt at its relaxed geometry, as listed in the Alexandria database.

Energy above the most stable polymorph in this dataset (meV per atom): 0
Total magnetic moment (μB per formula unit): 0.00
Symmetry: Amm2
Energy of formation (eV/atom): -0.700

Lattice parameters (Å, degrees): 4.2270 4.5441 6.1454 90.00 110.12 90.00
Fractional positions:
1 Zn 0.5683 0.5000 0.1365
2 Ac 0.1426 0.0000 0.2853
3 La 0.8638 0.5000 0.7276
4 Pt 0.4253 0.0000 0.8506

---

First-principles (PBE) data for crystalline AcLaZnPt at its relaxed geometry, as listed in the Alexandria database.

Energy above the most stable polymorph in this dataset (meV per atom): 63
Total magnetic moment (μB per formula unit): 0.00
Symmetry: F-43m
Energy of formation (eV/atom): -0.637

Lattice parameters (Å, degrees): 5.3375 5.3375 5.3375 60.00 60.00 60.00
Fractional positions:
1 Pt 0.7500 0.7500 0.7500
2 Zn 0.2500 0.2500 0.2500
3 La 0.5000 0.5000 0.5000
4 Ac 0.0000 0.0000 0.0000

---

First-principles (PBE) data for crystalline AcLaPu2 at its relaxed geometry, as listed in the Alexandria database.

Total magnetic moment (μB per formula unit): 13.69
Symmetry: Fm-3m
Energy of formation (eV/atom): 0.318

Lattice parameters (Å, degrees): 5.7479 5.7479 5.7479 60.00 60.00 60.00
Fractional positions:
1 Pu 0.7500 0.7500 0.7500
2 Pu 0.2500 0.2500 0.2500
3 La 0.5000 0.5000 0.5000
4 Ac 0.0000 0.0000 0.0000

---

First-principles (PBE) data for crystalline AcLaPu4 at its relaxed geometry, as listed in the Alexandria database.

Total magnetic moment (μB per formula unit): 23.44
Symmetry: F-43m
Energy of formation (eV/atom): 0.251

Lattice parameters (Å, degrees): 6.3541 6.3541 6.3541 60.00 60.00 60.00
Fractional positions:
1 Ac 0.2500 0.2500 0.2500
2 Pu 0.1245 0.6252 0.6252
3 Pu 0.6252 0.1245 0.6252
4 Pu 0.6252 0.6252 0.1245
5 Pu 0.6252 0.6252 0.6252
6 La 0.0000 0.0000 0.0000

---

First-principles (PBE) data for crystalline Ac2LaPuS4 at its relaxed geometry, as listed in the Alexandria database.

Raw formation energy (eV/atom): -1.972
Total magnetic moment (μB per formula unit): 5.81
Symmetry: P2/m

Lattice parameters (Å, degrees): 4.1696 7.2600 7.2857 109.23 90.00 90.00
Fractional positions:
1 La 0.0000 0.0000 0.0000
2 Ac 0.0000 0.5000 0.5000
3 Ac 0.5000 0.0000 0.5000
4 S 0.5000 0.7487 0.7647
5 S 0.0000 0.2631 0.7695
6 S 0.5000 0.2513 0.2353
7 S 0.0000 0.7369 0.2305
8 Pu 0.5000 0.5000 0.0000